[1]
# GGA-PBE NdSmGePt, optimized geometry
data_NdSmGePt
_chemical_formula_sum 'Nd4 Sm4 Ge4 Pt4'
_cell_length_a 7.2747
_cell_length_b 7.2747
_cell_length_c 7.2747
_cell_angle_alpha 90.00
_cell_angle_beta 90.00
_cell_angle_gamma 90.00
_space_group_name_H-M_alt 'F -4 3 m'
_space_group_IT_number 216
_space_group_name_Hall 'F -4 2 3'
loop_
_atom_site_label
_atom_site_type_symbol
_atom_site_fract_x
_atom_site_fract_y
_atom_site_fract_z
Nd1 Nd 0.0000 0.0000 0.0000
Sm1 Sm 0.0000 0.0000 0.5000
Ge1 Ge 0.2500 0.2500 0.7500
Pt1 Pt 0.2500 0.2500 0.2500
# spin magnetization = 0.00 μB/cell
# energy of formation from the pure elements = -0.85 eV per atom
# energy above the most stable polymorph in this dataset = 155 meV per atom
# density of states at the Fermi level = 5.42 states/eV per cell

***

[2]
# GGA-PBE NdSmGePt, optimized geometry
data_NdSmGePt
_chemical_formula_sum 'Nd2 Sm2 Ge2 Pt2'
_cell_length_a 4.3110
_cell_length_b 4.0978
_cell_length_c 11.1756
_cell_angle_alpha 90.00
_cell_angle_beta 90.00
_cell_angle_gamma 90.00
_space_group_name_H-M_alt 'A m m 2'
_space_group_IT_number 38
_space_group_name_Hall 'A 2 -2'
loop_
_atom_site_label
_atom_site_type_symbol
_atom_site_fract_x
_atom_site_fract_y
_atom_site_fract_z
Nd1 Nd 0.0000 0.0000 0.0000
Sm1 Sm 0.5000 0.0000 0.7229
Ge1 Ge 0.5000 0.0000 0.4369
Pt1 Pt 0.0000 0.0000 0.2748
# spin magnetization = 0.00 μB/cell
# energy of formation from the pure elements = -1.00 eV per atom
# energy above the most stable polymorph in this dataset = 0 meV per atom
# density of states at the Fermi level = 4.28 states/eV per cell

***

[3]
# GGA-PBE Nd2SmGe4Pt3, optimized geometry
data_Nd2SmGe4Pt3
_chemical_formula_sum 'Nd2 Sm1 Ge4 Pt3'
_cell_length_a 4.3376
_cell_length_b 4.3376
_cell_length_c 11.3782
_cell_angle_alpha 90.00
_cell_angle_beta 90.00
_cell_angle_gamma 90.00
_space_group_name_H-M_alt 'P -4 m 2'
_space_group_IT_number 115
_space_group_name_Hall 'P -4 -2'
loop_
_atom_site_label
_atom_site_type_symbol
_atom_site_fract_x
_atom_site_fract_y
_atom_site_fract_z
Nd1 Nd 0.0000 0.5000 0.2276
Sm1 Sm 0.0000 0.0000 0.5000
Ge1 Ge 0.0000 0.0000 0.0000
Ge2 Ge 0.0000 0.5000 0.6673
Ge3 Ge 0.5000 0.5000 0.0000
Pt1 Pt 0.0000 0.5000 0.8850
Pt2 Pt 0.5000 0.5000 0.5000
# spin magnetization = 0.00 μB/cell
# energy of formation from the pure elements = -0.87 eV per atom
# density of states at the Fermi level = 4.09 states/eV per cell

***

[4]
# GGA-PBE Nd3SnGe2Pt9, optimized geometry
data_Nd3SnGe2Pt9
_chemical_formula_sum 'Nd3 Sn1 Ge2 Pt9'
_cell_length_a 6.5222
_cell_length_b 6.5222
_cell_length_c 9.4607
_cell_angle_alpha 90.00
_cell_angle_beta 90.00
_cell_angle_gamma 120.00
_space_group_name_H-M_alt 'P -3 m 1'
_space_group_IT_number 164
_space_group_name_Hall '-P 3 2"'
loop_
_atom_site_label
_atom_site_type_symbol
_atom_site_fract_x
_atom_site_fract_y
_atom_site_fract_z
Nd1 Nd 0.0000 0.0000 0.0000
Nd2 Nd 0.3333 0.6667 0.7405
Sn1 Sn 0.0000 0.0000 0.5000
Ge1 Ge 0.3333 0.6667 0.1802
Pt1 Pt 0.0000 0.5000 0.0000
Pt2 Pt 0.1399 0.2799 0.2724
# spin magnetization = 0.00 μB/cell
# energy of formation from the pure elements = -0.60 eV per atom
# density of states at the Fermi level = 7.15 states/eV per cell

***

[5]
# GGA-PBE Nd2SnGePt6, optimized geometry
data_Nd2SnGePt6
_chemical_formula_sum 'Nd2 Sn1 Ge1 Pt6'
_cell_length_a 5.5113
_cell_length_b 6.6481
_cell_length_c 6.9192
_cell_angle_alpha 80.73
_cell_angle_beta 66.59
_cell_angle_gamma 65.71
_space_group_name_H-M_alt 'P -1'
_space_group_IT_number 2
_space_group_name_Hall '-P 1'
loop_
_atom_site_label
_atom_site_type_symbol
_atom_site_fract_x
_atom_site_fract_y
_atom_site_fract_z
Nd1 Nd 0.0355 0.2127 0.2145
Sn1 Sn 0.5000 0.5000 0.0000
Ge1 Ge 0.5000 0.0000 0.5000
Pt1 Pt 0.0106 0.2306 0.7501
Pt2 Pt 0.3442 0.4024 0.4074
Pt3 Pt 0.4940 0.7690 0.2489
# spin magnetization = 0.00 μB/cell
# energy of formation from the pure elements = -0.75 eV per atom
# density of states at the Fermi level = 5.33 states/eV per cell

***

[6]
# GGA-PBE Nd2Sn3GePt4, optimized geometry
data_Nd2Sn3GePt4
_chemical_formula_sum 'Nd2 Sn3 Ge1 Pt4'
_cell_length_a 4.5853
_cell_length_b 4.5853
_cell_length_c 10.4745
_cell_angle_alpha 90.00
_cell_angle_beta 90.00
_cell_angle_gamma 90.00
_space_group_name_H-M_alt 'P -4 m 2'
_space_group_IT_number 115
_space_group_name_Hall 'P -4 -2'
loop_
_atom_site_label
_atom_site_type_symbol
_atom_site_fract_x
_atom_site_fract_y
_atom_site_fract_z
Nd1 Nd 0.0000 0.5000 0.2493
Sn1 Sn 0.0000 0.5000 0.8686
Sn2 Sn 0.5000 0.5000 0.5000
Ge1 Ge 0.0000 0.0000 0.5000
Pt1 Pt 0.0000 0.0000 0.0000
Pt2 Pt 0.0000 0.5000 0.6201
Pt3 Pt 0.5000 0.5000 0.0000
# spin magnetization = 0.00 μB/cell
# energy of formation from the pure elements = -0.83 eV per atom
# density of states at the Fermi level = 5.28 states/eV per cell

***

[7]
# GGA-PBE Nd2SnGe4Pt3, optimized geometry
data_Nd2SnGe4Pt3
_chemical_formula_sum 'Nd2 Sn1 Ge4 Pt3'
_cell_length_a 4.4192
_cell_length_b 4.4192
_cell_length_c 10.4792
_cell_angle_alpha 90.00
_cell_angle_beta 90.00
_cell_angle_gamma 90.00
_space_group_name_H-M_alt 'P -4 m 2'
_space_group_IT_number 115
_space_group_name_Hall 'P -4 -2'
loop_
_atom_site_label
_atom_site_type_symbol
_atom_site_fract_x
_atom_site_fract_y
_atom_site_fract_z
Nd1 Nd 0.0000 0.5000 0.2379
Sn1 Sn 0.0000 0.0000 0.5000
Ge1 Ge 0.0000 0.0000 0.0000
Ge2 Ge 0.0000 0.5000 0.6500
Ge3 Ge 0.5000 0.5000 0.0000
Pt1 Pt 0.0000 0.5000 0.8822
Pt2 Pt 0.5000 0.5000 0.5000
# spin magnetization = 0.00 μB/cell
# energy of formation from the pure elements = -0.78 eV per atom
# density of states at the Fermi level = 3.67 states/eV per cell

***

[8]
# GGA-PBE SrNdGe2Pt5, optimized geometry
data_SrNdGe2Pt5
_chemical_formula_sum 'Sr1 Nd1 Ge2 Pt5'
_cell_length_a 4.4771
_cell_length_b 4.4771
_cell_length_c 8.7570
_cell_angle_alpha 90.00
_cell_angle_beta 90.00
_cell_angle_gamma 90.00
_space_group_name_H-M_alt 'P 4/m m m'
_space_group_IT_number 123
_space_group_name_Hall '-P 4 2'
loop_
_atom_site_label
_atom_site_type_symbol
_atom_site_fract_x
_atom_site_fract_y
_atom_site_fract_z
Sr1 Sr 0.0000 0.0000 0.0000
Nd1 Nd 0.0000 0.0000 0.5000
Ge1 Ge 0.5000 0.5000 0.3537
Pt1 Pt 0.0000 0.5000 0.2363
Pt2 Pt 0.5000 0.5000 0.0000
# spin magnetization = 0.00 μB/cell
# energy of formation from the pure elements = -0.72 eV per atom
# density of states at the Fermi level = 4.35 states/eV per cell

***

[9]
# GGA-PBE Sr2NdGe3Pt4, optimized geometry
data_Sr2NdGe3Pt4
_chemical_formula_sum 'Sr2 Nd1 Ge3 Pt4'
_cell_length_a 4.4646
_cell_length_b 4.4646
_cell_length_c 11.1008
_cell_angle_alpha 90.00
_cell_angle_beta 90.00
_cell_angle_gamma 90.00
_space_group_name_H-M_alt 'P -4 m 2'
_space_group_IT_number 115
_space_group_name_Hall 'P -4 -2'
loop_
_atom_site_label
_atom_site_type_symbol
_atom_site_fract_x
_atom_site_fract_y
_atom_site_fract_z
Sr1 Sr 0.0000 0.5000 0.2269
Nd1 Nd 0.0000 0.0000 0.5000
Ge1 Ge 0.0000 0.5000 0.8864
Ge2 Ge 0.5000 0.5000 0.5000
Pt1 Pt 0.0000 0.0000 0.0000
Pt2 Pt 0.0000 0.5000 0.6635
Pt3 Pt 0.5000 0.5000 0.0000
# spin magnetization = 0.00 μB/cell
# energy of formation from the pure elements = -0.84 eV per atom
# density of states at the Fermi level = 4.41 states/eV per cell

***

[10]
# GGA-PBE Nd2TaGe3Pt4, optimized geometry
data_Nd2TaGe3Pt4
_chemical_formula_sum 'Nd2 Ta1 Ge3 Pt4'
_cell_length_a 4.3136
_cell_length_b 4.3136
_cell_length_c 10.6041
_cell_angle_alpha 90.00
_cell_angle_beta 90.00
_cell_angle_gamma 90.00
_space_group_name_H-M_alt 'P -4 m 2'
_space_group_IT_number 115
_space_group_name_Hall 'P -4 -2'
loop_
_atom_site_label
_atom_site_type_symbol
_atom_site_fract_x
_atom_site_fract_y
_atom_site_fract_z
Nd1 Nd 0.0000 0.5000 0.2405
Ta1 Ta 0.0000 0.0000 0.5000
Ge1 Ge 0.0000 0.5000 0.8674
Ge2 Ge 0.5000 0.5000 0.5000
Pt1 Pt 0.0000 0.0000 0.0000
Pt2 Pt 0.0000 0.5000 0.6347
Pt3 Pt 0.5000 0.5000 0.0000
# spin magnetization = 0.00 μB/cell
# energy of formation from the pure elements = -0.86 eV per atom
# density of states at the Fermi level = 7.72 states/eV per cell

***

- Look up the energy of formation from the pure elements of the second one.
  -1.00 eV per atom

***

- Among the records above, which one has the lowest energy of formation from the pure elements?
  number 2